(1)
First-principles (GGA-PBE) data for a relaxed structure of NaAc2Np3N8, as listed in Alexandria.

Cell lengths 7.310, 7.310, 7.310 Å; angles 56.91, 56.91, 56.91 degrees
Positions (direct):
Na 0.000 0.000 0.000
Ac 0.212 0.212 0.212
Ac 0.597 0.597 0.597
Np 0.093 0.597 0.597
Np 0.597 0.093 0.597
Np 0.597 0.597 0.093
N 0.348 0.348 0.781
N 0.348 0.781 0.348
N 0.370 0.370 0.370
N 0.423 0.843 0.843
N 0.781 0.348 0.348
N 0.817 0.817 0.817
N 0.843 0.423 0.843
N 0.843 0.843 0.423

For the formation energy (no corrections), the calculation gives -0.974 eV per atom. As for the space group: R3m, No. 160. For the density of states at the Fermi level, the calculation gives 8.74 states/eV/f.u.

***

(2)
First-principles (GGA-PBE) data for a relaxed structure of YBPO2, as listed in Alexandria.

Cell lengths 4.181, 4.181, 6.032 Å; angles 90.00, 90.00, 90.00 degrees
Positions (direct):
Y 0.000 0.000 0.000
B 0.500 0.500 0.500
P 0.000 0.000 0.500
O 0.000 0.500 0.000
O 0.500 0.000 0.000

For the formation energy (no corrections), the calculation gives 0.164 eV per atom. As for the space group: P4/mmm, No. 123. The value obtained for the excess energy over the best structure of this formula in the dataset is 0.947 eV per atom. For the density of states at the Fermi level, the calculation gives 3.93 states/eV/f.u.

***

Number 1: spin magnetization 4.00 μB per cell. Number 2: spin magnetization 1.20 μB per cell.